(1)
Entry from Alexandria via LeMat-Bulk: crystalline Ce2PuPaN6 at its relaxed geometry (GGA-PBE).

Unit cell a=5.8352 b=5.9692 c=10.3151 alpha=90.00 beta=124.01 gamma=90.00
With the nearest neighbours (Å) after each atom.
Space group P2_1/c (No. 14)
One atom of each set of equivalent atoms:
Ce (0.2384, 0.0451, 0.2505) (multiplicity 4)  4 N 2.30-2.51
Pu (0.0000, 0.0000, 0.5000) (multiplicity 2)  6 N 2.12-2.28
Pa (0.5000, 0.0000, 0.0000) (multiplicity 2)  6 N 2.23-2.32
N (0.1230, 0.1982, 0.9270) (multiplicity 4)  1 Pu 2.22, 1 Pa 2.23, 1 Ce 2.36
N (0.2256, 0.6882, 0.9328) (multiplicity 4)  1 Pu 2.12, 1 Pa 2.29, 1 Ce 2.37
N (0.3792, 0.0586, 0.7471) (multiplicity 4)  1 Pu 2.28, 2 Ce 2.30-2.51, 1 Pa 2.32

Values from the calculation:
- Size of the total moment: 6.2 μB per cell
- VASP energy: -9.8862 eV per atom
- V: 14.891 Å³/atom
- Density of states at the Fermi level: 10.246 states/eV/f.u.

(2)
Entry from Alexandria via LeMat-Bulk: crystalline ReAgAu2 at its relaxed geometry (GGA-PBE).

Unit cell a=6.5129 b=6.5129 c=6.5129 alpha=90.00 beta=90.00 gamma=90.00
With the nearest neighbours (Å) after each atom.
Space group F-43m (No. 216)
One atom of each set of equivalent atoms:
Re (0.0000, 0.0000, 0.0000) (multiplicity 4)  4 Ag 2.82, 4 Au 2.82
Ag (0.2500, 0.2500, 0.2500) (multiplicity 4)  4 Re 2.82, 4 Au 2.82
Au (0.0000, 0.0000, 0.5000) (multiplicity 4)  4 Ag 2.82, 4 Au 2.82
Au (0.2500, 0.2500, 0.7500) (multiplicity 4)  4 Re 2.82, 4 Au 2.82

Values from the calculation:
- Size of the total moment: 8.8 μB per cell
- Energy above the most stable polymorph in this dataset: 427 meV/atom
- ΔH_f (0 K): 0.760 eV per atom
- VASP energy: -4.7040 eV per atom
- V: 17.267 Å³/atom
- Density of states at the Fermi level: 4.228 states/eV/f.u.

(3)
Entry from Alexandria via LeMat-Bulk: crystalline Cs2TiGa at its relaxed geometry (GGA-PBE).

Unit cell a=8.8377 b=8.8377 c=8.8377 alpha=90.00 beta=90.00 gamma=90.00
With the nearest neighbours (Å) after each atom.
Space group Fm-3m (No. 225)
One atom of each set of equivalent atoms:
Cs (0.2500, 0.2500, 0.2500) (multiplicity 8)  4 Ti 3.83, 4 Ga 3.83
Ti (0.0000, 0.0000, 0.0000) (multiplicity 4)  8 Cs 3.83
Ga (0.0000, 0.0000, 0.5000) (multiplicity 4)  8 Cs 3.83

Values from the calculation:
- Size of the total moment: 1.5 μB per cell
- Energy above the most stable polymorph in this dataset: 524 meV/atom
- ΔH_f (0 K): 1.192 eV per atom
- VASP energy: -1.9652 eV per atom
- V: 43.142 Å³/atom
- Density of states at the Fermi level: 12.300 states/eV/f.u.

(4)
Entry from Alexandria via LeMat-Bulk: crystalline CsNa3In2 at its relaxed geometry (GGA-PBE).

Unit cell a=12.8292 b=11.1539 c=6.5702 alpha=90.00 beta=90.00 gamma=90.00
With the nearest neighbours (Å) after each atom.
Space group Cmcm (No. 63)
One atom of each set of equivalent atoms:
Cs (0.0000, 0.1491, 0.2500) (multiplicity 4)  7 Na 4.05-4.29, 4 In 4.21
Na (0.0000, 0.4790, 0.7500) (multiplicity 4)  4 Na 3.32-3.68, 4 In 3.35
Na (0.1990, 0.2414, 0.7500) (multiplicity 8)  4 In 3.29-3.34, 3 Na 3.54-3.68
In (0.2271, 0.5000, 0.0000) (multiplicity 8)  2 In 3.29, 6 Na 3.29-3.35

Values from the calculation:
- Size of the total moment: 0.0 μB per cell
- ΔH_f (0 K): -0.052 eV per atom
- VASP energy: -1.7669 eV per atom
- V: 39.173 Å³/atom
- Density of states at the Fermi level: 3.075 states/eV/f.u.